A geometry-optimized Y3Cu2Si4 structure. Source: Alexandria via LeMat-Bulk, functional PBE.

abc: 5.687 5.687 8.032
angles: 100.29 100.29 41.64
Fractional positions:
Y1 0.000 0.000 0.000
Y2 0.338 0.338 0.332
Y3 0.662 0.662 0.668
Cu1 0.388 0.388 0.718
Cu2 0.612 0.612 0.282
Si1 0.059 0.059 0.388
Si2 0.283 0.283 0.940
Si3 0.717 0.717 0.060
Si4 0.941 0.941 0.612

Values from the calculation:
The total magnetization comes out at 0.00 μB per formula unit. The uncorrected formation energy comes out at -738.3 meV/atom.

A geometry-optimized SrLiAg2I structure. Source: Alexandria via LeMat-Bulk, functional PBE.

abc: 5.846 5.846 4.916
angles: 90.00 90.00 90.00
Fractional positions:
Sr1 0.000 0.000 0.000
Li1 0.500 0.500 0.000
Ag1 0.000 0.500 0.500
Ag2 0.500 0.000 0.500
I1 0.500 0.500 0.500

Values from the calculation:
The total magnetization comes out at 0.00 μB per formula unit. The uncorrected formation energy comes out at 120.2 meV/atom.